1.
A plane-wave DFT calculation with GGA-PBE was carried out for a relaxed RbPtI crystal.

Calculated values
Crystal system: monoclinic
Space-group type: Cm (8)

a = 6.215 Å, b = 6.215 Å, c = 9.255 Å
α = 92.07°, β = 92.07°, γ = 37.65°
Positions (direct):
Rb (0.000, 0.000, 0.000)
Rb (0.502, 0.502, 0.500)
Pt (0.265, 0.265, 0.095)
Pt (0.735, 0.735, 0.908)
I (0.217, 0.217, 0.709)
I (0.785, 0.785, 0.293)

2.
A plane-wave DFT calculation with GGA-PBE was carried out for a relaxed RbPtI crystal.

Calculated values
Crystal system: monoclinic
Space-group type: Pm (6)

a = 5.189 Å, b = 5.304 Å, c = 8.585 Å
α = 90.00°, β = 100.54°, γ = 90.00°
Positions (direct):
Rb (0.000, 0.000, 0.000)
Rb (0.360, 0.000, 0.483)
Pt (0.188, 0.500, 0.241)
Pt (0.743, 0.500, 0.336)
I (0.528, 0.500, 0.043)
I (0.919, 0.500, 0.638)

no.,offset from the most stable computed form (kJ/mol of formula units),ΔE_f (raw) (kJ/mol of formula units)
1,13,-147
2,18,-143